(1)
# Tl2In3AgF12

A relaxed Tl2In3AgF12 crystal (PBE, Alexandria).

Lattice parameters (Å, degrees): 7.5610 7.5610 7.5610 64.80 64.80 64.80
Sites, in units of the cell vectors:
Tl (0.1323, 0.1323, 0.1323)
Tl (0.8677, 0.8677, 0.8677)
In (0.0000, 0.5000, 0.5000)
In (0.5000, 0.0000, 0.5000)
In (0.5000, 0.5000, 0.0000)
Ag (0.5000, 0.5000, 0.5000)
F (0.0914, 0.6273, 0.6273)
F (0.2164, 0.2164, 0.5966)
F (0.2164, 0.5966, 0.2164)
F (0.3727, 0.3727, 0.9086)
F (0.3727, 0.9086, 0.3727)
F (0.4034, 0.7836, 0.7836)
F (0.5966, 0.2164, 0.2164)
F (0.6273, 0.0914, 0.6273)
F (0.6273, 0.6273, 0.0914)
F (0.7836, 0.4034, 0.7836)
F (0.7836, 0.7836, 0.4034)
F (0.9086, 0.3727, 0.3727)

Output
* E_form (uncorrected): -2.204 eV/atom
* final energy: -77.9 eV/f.u.

(2)
# TlInAg2F6

A relaxed TlInAg2F6 crystal (PBE, Alexandria).

Lattice parameters (Å, degrees): 6.2730 6.2801 6.4181 90.00 119.22 119.88
Sites, in units of the cell vectors:
Tl (0.0000, 0.0000, 0.0000)
In (0.9740, 0.4871, 0.4609)
Ag (0.5498, 0.2745, 0.8243)
Ag (0.5923, 0.7967, 0.3890)
F (0.0879, 0.4279, 0.2134)
F (0.1051, 0.2633, 0.6628)
F (0.3989, 0.8412, 0.6619)
F (0.5542, 0.1270, 0.2140)
F (0.7853, 0.6601, 0.2136)
F (0.8221, 0.5584, 0.6639)

Output
* E_form (uncorrected): -1.782 eV/atom
* final energy: -39.9 eV/f.u.

(3)
# Tl3InAg2F9

A relaxed Tl3InAg2F9 crystal (PBE, Alexandria).

Lattice parameters (Å, degrees): 6.3617 6.3617 7.7822 90.00 90.00 120.00
Sites, in units of the cell vectors:
Tl (0.0000, 0.0000, 0.0000)
Tl (0.3333, 0.6667, 0.7205)
Tl (0.6667, 0.3333, 0.2795)
In (0.0000, 0.0000, 0.5000)
Ag (0.3333, 0.6667, 0.1769)
Ag (0.6667, 0.3333, 0.8231)
F (0.0000, 0.5000, 0.0000)
F (0.1536, 0.3073, 0.3384)
F (0.1536, 0.8464, 0.3384)
F (0.3073, 0.1536, 0.6616)
F (0.5000, 0.0000, 0.0000)
F (0.5000, 0.5000, 0.0000)
F (0.6927, 0.8464, 0.3384)
F (0.8464, 0.1536, 0.6616)
F (0.8464, 0.6927, 0.6616)

Output
* E_form (uncorrected): -1.782 eV/atom
* final energy: -59.1 eV/f.u.

(4)
# Tl2InAgF6

A relaxed Tl2InAgF6 crystal (PBE, Alexandria).

Lattice parameters (Å, degrees): 6.4069 6.4069 6.4069 60.00 60.00 60.00
Sites, in units of the cell vectors:
Tl (0.2500, 0.2500, 0.2500)
Tl (0.7500, 0.7500, 0.7500)
In (0.0000, 0.0000, 0.0000)
Ag (0.5000, 0.5000, 0.5000)
F (0.2324, 0.2324, 0.7676)
F (0.2324, 0.7676, 0.2324)
F (0.2324, 0.7676, 0.7676)
F (0.7676, 0.2324, 0.2324)
F (0.7676, 0.2324, 0.7676)
F (0.7676, 0.7676, 0.2324)

Output
* E_form (uncorrected): -1.951 eV/atom
* final energy: -41.1 eV/f.u.